Entry 1:
Entry from the Alexandria database: a relaxed structure of CeTcW (PBE-GGA).

Calculated values
ΔH_f (0 K), meV per atom: 648
Distance to the lowest polymorph of the same formula, eV/f.u.: 1.60
Total DFT energy (no corrections), eV/atom: -9.10
Total moment, μB/f.u.: 0.67

Lattice parameters (Å, degrees): 4.197 4.197 9.676 90.00 90.00 120.00
Fractional coordinates of all 6 atoms:
Ce 0.000 0.000 0.348
Ce 0.000 0.000 0.652
W 0.667 0.333 0.162
W 0.333 0.667 0.838
Tc 0.667 0.333 0.892
Tc 0.333 0.667 0.108

Entry 2:
Entry from the Alexandria database: a relaxed structure of Cd2C (PBE-GGA).

Calculated values
ΔH_f (0 K), meV per atom: 1309
Distance to the lowest polymorph of the same formula, eV/f.u.: 1.70
Total DFT energy (no corrections), eV/atom: -2.38
Total moment, μB/f.u.: 0.00

Lattice parameters (Å, degrees): 5.965 5.965 8.450 50.77 50.77 30.39
Fractional coordinates of all 6 atoms:
C 0.411 0.411 0.833
C 0.589 0.589 0.167
Cd 0.770 0.770 0.802
Cd 0.103 0.103 0.687
Cd 0.230 0.230 0.198
Cd 0.897 0.897 0.313

Entry 3:
Entry from the Alexandria database: a relaxed structure of Ta2VPI (PBE-GGA).

Calculated values
Formation energy from raw total energies, meV per atom: 699
Total DFT energy (no corrections), eV/atom: -7.26
Total moment, μB/f.u.: 0.00

Lattice parameters (Å, degrees): 4.777 4.323 4.777 90.00 90.00 90.00
Fractional coordinates of all 5 atoms:
I 0.500 0.500 0.500
P 0.000 0.000 0.000
Ta 0.000 0.000 0.500
Ta 0.500 0.000 0.000
V 0.000 0.500 0.000